Entry 1:
A relaxed BaCrRe crystal, computed with GGA-PBE.

POSCAR file:
```
BaCrRe
1.0
4.077 0.000 0.000
-2.038 3.530 0.000
0.000 0.000 5.429
Ba Cr Re
1 1 1
Direct
0.000 0.000 0.000 Ba
0.667 0.333 0.508 Cr
0.333 0.667 0.489 Re
```

Results
As for the crystal system: trigonal. As for the spin magnetization: 1.53 μB per cell. The raw total energy is -21.3 eV/cell. The symmetry is P3m1, No. 156. As for the energy relative to the elements: 20.5 kcal/mol of atoms.

Entry 2:
A relaxed BaCr3Re crystal, computed with GGA-PBE.

POSCAR file:
```
BaCr3Re
1.0
4.823 0.000 0.000
0.000 4.823 0.000
0.000 0.000 4.823
Ba Cr Re
1 3 1
Direct
0.000 0.000 0.000 Ba
0.000 0.000 0.500 Cr
0.000 0.500 0.000 Cr
0.500 0.000 0.000 Cr
0.500 0.500 0.500 Re
```

Results
As for the crystal system: cubic. As for the spin magnetization: 5.62 μB per cell. The raw total energy is -28.0 eV/cell. The symmetry is Pm-3m, No. 221. As for the energy relative to the elements: 70.2 kcal/mol of atoms.